The following is a PBE calculation of a relaxed Hf5FeRh4 crystal, from Alexandria.

The structure belongs to space group P4/mmm (No. 123); the cell edges are 3.2540, 3.2540 and 16.1446 Å and the angles 90.00°, 90.00° and 90.00°. The asymmetric unit holds Hf at (0.0000, 0.0000, 0.0000), Hf at (0.0000, 0.0000, 0.2027), Hf at (0.0000, 0.0000, 0.4057), Fe at (0.5000, 0.5000, 0.5000), Rh at (0.5000, 0.5000, 0.1021) and Rh at (0.5000, 0.5000, 0.3027).

The calculation puts the electronic total energy at -0.7002 Ry/atom. Its formation energy is -0.76 eV per atom.



The following is a PBE calculation of a relaxed Hf8FeRh2 crystal, from Alexandria.

The structure belongs to space group C2/m (No. 12); the cell edges are 15.4318, 4.6830 and 6.1247 Å and the angles 90.00°, 99.60° and 90.00°. The asymmetric unit holds Hf at (0.0284, 0.0000, 0.2537), Hf at (0.0879, 0.5000, 0.9376), Hf at (0.1605, 0.5000, 0.4574), Hf at (0.1911, 0.0000, 0.8130), Fe at (0.0000, 0.5000, 0.5000) and Rh at (0.2050, 0.0000, 0.2334).

The calculation puts the electronic total energy at -0.7098 Ry/atom. Its formation energy is -0.31 eV per atom.



The following is a PBE calculation of a relaxed Hf6Fe2Rh crystal, from Alexandria.

The structure belongs to space group Immm (No. 71); the cell edges are 8.6037, 8.6899 and 8.9749 Å and the angles 90.00°, 90.00° and 90.00°. The asymmetric unit holds Hf at (0.0000, 0.1927, 0.1748), Hf at (0.1864, 0.2277, 0.5000), Hf at (0.1936, 0.5000, 0.2527), Fe at (0.0000, 0.0000, 0.3841), Fe at (0.1607, 0.0000, 0.0000), Rh at (0.0000, 0.5000, 0.0000) and Rh at (0.0000, 0.5000, 0.5000).

The calculation puts the electronic total energy at -0.7101 Ry/atom. Its formation energy is -0.33 eV per atom.



The following is a PBE calculation of a relaxed Hf6Fe5Rh crystal, from Alexandria.

The structure belongs to space group Immm (No. 71); the cell edges are 4.4655, 6.3502 and 13.3783 Å and the angles 90.00°, 90.00° and 90.00°. The asymmetric unit holds Hf at (0.0000, 0.2430, 0.0000), Hf at (0.0000, 0.2535, 0.3305), Fe at (0.0000, 0.0000, 0.1661), Fe at (0.0000, 0.5000, 0.1669), Fe at (0.0000, 0.5000, 0.5000) and Rh at (0.0000, 0.0000, 0.5000).

The calculation puts the electronic total energy at -0.7001 Ry/atom. Its formation energy is -0.41 eV per atom.



The following is a PBE calculation of a relaxed Hf6FeRh3 crystal, from Alexandria.

The structure belongs to space group P2_1/c (No. 14); the cell edges are 6.2550, 7.0052 and 10.9013 Å and the angles 90.00°, 124.75° and 90.00°. The asymmetric unit holds Hf at (0.0577, 0.0527, 0.2446), Hf at (0.2047, 0.6848, 0.0608), Hf at (0.4073, 0.1550, 0.0614), Fe at (0.0000, 0.0000, 0.0000), Rh at (0.2914, 0.1270, 0.7268) and Rh at (0.5000, 0.0000, 0.5000).

The calculation puts the electronic total energy at -0.6916 Ry/atom. Its formation energy is -0.39 eV per atom.



The following is a PBE calculation of a relaxed HfFeRh14 crystal, from Alexandria.

The structure belongs to space group P4/mmm (No. 123); the cell edges are 5.4530, 5.4530 and 7.7612 Å and the angles 90.00°, 90.00° and 90.00°. The asymmetric unit holds Hf at (0.0000, 0.0000, 0.0000), Fe at (0.5000, 0.5000, 0.0000), Rh at (0.0000, 0.0000, 0.5000), Rh at (0.0000, 0.5000, 0.0000), Rh at (0.0000, 0.5000, 0.5000), Rh at (0.2530, 0.2530, 0.2523) and Rh at (0.5000, 0.5000, 0.5000).

The calculation puts the electronic total energy at -0.5694 Ry/atom. Its formation energy is -0.16 eV per atom.



> The lowest electronic total energy belongs to which entry?

Hf6Fe2Rh



Please write out number 4 again, unchanged.
The following is a PBE calculation of a relaxed Hf6Fe5Rh crystal, from Alexandria.

The structure belongs to space group Immm (No. 71); the cell edges are 4.4655, 6.3502 and 13.3783 Å and the angles 90.00°, 90.00° and 90.00°. The asymmetric unit holds Hf at (0.0000, 0.2430, 0.0000), Hf at (0.0000, 0.2535, 0.3305), Fe at (0.0000, 0.0000, 0.1661), Fe at (0.0000, 0.5000, 0.1669), Fe at (0.0000, 0.5000, 0.5000) and Rh at (0.0000, 0.0000, 0.5000).

The calculation puts the electronic total energy at -0.7001 Ry/atom. Its formation energy is -0.41 eV per atom.



> What is the electronic total energy in the third record?

-0.7101 Ry/atom